An optimized crystal structure of LaHo2RuN4, computed with PBE.

Summary:
As for the space group: No. 63. For the theoretical density, the calculation gives 8826 kg/m3. Its crystal system is orthorhombic. The value obtained for the raw formation energy is -8.5 eV/f.u.

Cell: 3.462 6.115 11.598 Å, 90.00 90.00 106.44°
Atoms (fractional coordinates):
La: 0.114 0.227 0.750
La: 0.886 0.773 0.250
Ho: 0.369 0.738 0.543
Ho: 0.631 0.262 0.043
Ho: 0.631 0.262 0.457
Ho: 0.369 0.738 0.957
Ru: 0.852 0.703 0.750
Ru: 0.148 0.297 0.250
N: 0.266 0.532 0.125
N: 0.734 0.468 0.625
N: 0.734 0.468 0.875
N: 0.266 0.532 0.375
N: 0.000 0.000 0.500
N: 0.000 0.000 0.000
N: 0.437 0.874 0.750
N: 0.563 0.126 0.250